The following is a PBE calculation of LaBeSe after structural relaxation, from Alexandria via LeMat-Bulk. Values from VASP.

* energy relative to the elements, uncorrected: -0.4520 eV/atom
* V: 23.0 Å³/atom
* raw total energy: -4.498 eV/atom
* relative energy among the computed polymorphs: 0.238 eV per atom
* symmetry: Fmm2 (42)

Geometry as Quantum ESPRESSO input:
```
&SYSTEM
  ibrav = 0, nat = 3, ntyp = 3
/
ATOMIC_SPECIES
Se 78.96 Se.upf
Be 9.01 Be.upf
La 138.91 La.upf
CELL_PARAMETERS angstrom
-3.698 -4.205 -3.053
-0.082 -4.892 -3.322
-1.848 -2.290 2.227
ATOMIC_POSITIONS angstrom
Se -3.057 -6.550 -3.157
Be -1.907 -2.496 1.967
La -2.512 -4.631 -0.731
```

The following is a PBE calculation of LaBeSe after structural relaxation, from Alexandria via LeMat-Bulk. Values from VASP.

* energy relative to the elements, uncorrected: -0.2938 eV/atom
* V: 22.7 Å³/atom
* raw total energy: -4.340 eV/atom
* relative energy among the computed polymorphs: 0.397 eV per atom
* symmetry: F-43m (216)

Geometry as Quantum ESPRESSO input:
```
&SYSTEM
  ibrav = 0, nat = 3, ntyp = 3
/
ATOMIC_SPECIES
La 138.91 La.upf
Se 78.96 Se.upf
Be 9.01 Be.upf
CELL_PARAMETERS angstrom
-0.042 -4.482 0.953
3.154 -2.765 -1.845
3.281 -1.813 2.636
ATOMIC_POSITIONS angstrom
La 0.000 0.000 0.000
Se 3.197 -4.530 0.872
Be 1.598 -2.265 0.436
```

Question: Which value of V does entry 1 give?
Answer: 23.0 Å³/atom

Question: What is the formula in the second record?
Answer: LaBeSe